DFT (GGA-PBE) results for a relaxed K3MnCl4 crystal.

abc: 7.704 7.704 8.217
angles: 90.00 90.00 90.00
Space group I-42m (No. 121)
Asymmetric unit:
K (0.000, 0.000, 0.000) (multiplicity 2)
K (0.000, 0.500, 0.250) (multiplicity 4)
Mn (0.000, 0.000, 0.500) (multiplicity 2)
Cl (0.224, 0.224, 0.534) (multiplicity 8)

Output
Theoretical density = 2.14 g cm⁻³
Raw formation energy = -11.4 eV/f.u.
N(E_F) = 1.87 states/eV/f.u.
Energy = -3.9048 eV per atom